Here is NaCdAgHg after structural relaxation from the Alexandria database. Energies are from PBE-GGA.

It has space group Cm (No. 8), with a = 13.5546 Å, b = 5.1345 Å, c = 3.1202 Å, α = 90.00°, β = 103.29° and γ = 90.00°. The asymmetric unit holds Na at (0.0000, 0.0000, 0.0000), Cd at (0.3859, 0.0000, 0.3837), Ag at (0.2072, 0.0000, 0.7050) and Hg at (0.1159, 0.5000, 0.6206).

The theoretical density comes out at 6.98 g/cm3. The volume is 26.42 Å³ per atom. As for the energy above the lowest structure with this stoichiometry: 102 meV per atom. For the formation energy, the calculation gives 29 meV/atom.